(1)
The following is a DFT calculation (PBE-GGA) of a relaxed Y8HoAl2 crystal.

- ρ: 4.791 g/cm3
- Magnetic moment: 0.000 μB/atom
- SG: No. 12
- V: 322.39 Å³/cell
- Formation energy from the elements: -1.30 eV/f.u.

Lattice parameters (Å, degrees): 8.6232 8.6232 8.2516 113.11 113.11 35.21
Last column: nearest neighbours and their distance in Å.
Positions (direct):
Y1 0.0570 0.0570 0.2342  1 Al 3.14, 2 Y 3.40
Y2 0.1533 0.1533 0.7224  3 Al 3.17-3.20, 1 Y 3.47
Y3 0.3118 0.3118 0.5456  1 Al 3.03, 4 Y 3.20-3.40, 1 Ho 3.27
Y4 0.3890 0.3890 0.0282  3 Al 3.18-3.21, 1 Ho 3.55
Y5 0.6110 0.6110 0.9718  3 Al 3.18-3.21, 1 Ho 3.55
Y6 0.6882 0.6882 0.4544  1 Al 3.03, 4 Y 3.20-3.40, 1 Ho 3.27
Y7 0.8467 0.8467 0.2776  3 Al 3.17-3.20, 1 Y 3.47
Y8 0.9430 0.9430 0.7658  1 Al 3.14, 2 Y 3.40
Ho1 0.5000 0.5000 0.5000  8 Y 3.27-3.57
Al1 0.2242 0.2242 0.1421  8 Y 3.03-3.21
Al2 0.7758 0.7758 0.8579  8 Y 3.03-3.21


(2)
The following is a DFT calculation (PBE-GGA) of a relaxed Y6Ho2Al crystal.

- ρ: 5.242 g/cm3
- Magnetic moment: 0.000 μB/atom
- SG: No. 65
- V: 282.03 Å³/cell
- Formation energy from the elements: 0.59 eV/f.u.

Lattice parameters (Å, degrees): 9.8228 9.8228 3.5140 90.00 90.00 123.71
Last column: nearest neighbours and their distance in Å.
Positions (direct):
Y1 0.0114 0.3353 0.0000  6 Y 3.21-3.51, 1 Al 3.23, 2 Ho 3.51
Y2 0.2919 0.2919 0.5000  2 Al 3.23, 6 Y 3.49-3.51
Y3 0.3353 0.0114 0.0000  6 Y 3.21-3.51, 1 Al 3.23, 2 Ho 3.51
Y4 0.6647 0.9886 0.0000  6 Y 3.21-3.51, 1 Al 3.23, 2 Ho 3.51
Y5 0.7081 0.7081 0.5000  2 Al 3.23, 6 Y 3.49-3.51
Y6 0.9886 0.6647 0.0000  6 Y 3.21-3.51, 1 Al 3.23, 2 Ho 3.51
Ho1 0.3204 0.6796 0.5000  10 Y 3.51-3.66, 2 Ho 3.51
Ho2 0.6796 0.3204 0.5000  10 Y 3.51-3.66, 2 Ho 3.51
Al1 0.0000 0.0000 0.0000  8 Y 3.23, 2 Al 3.51


(3)
The following is a DFT calculation (PBE-GGA) of a relaxed YHo3Al crystal.

- ρ: 7.124 g/cm3
- Magnetic moment: 0.094 μB/atom
- SG: No. 12
- V: 284.69 Å³/cell
- Formation energy from the elements: -0.76 eV/f.u.

Lattice parameters (Å, degrees): 6.7082 6.7082 12.3933 95.40 95.40 30.86
Last column: nearest neighbours and their distance in Å.
Positions (direct):
Y1 0.2238 0.2238 0.2478  2 Al 3.16, 1 Ho 3.47
Y2 0.7762 0.7762 0.7522  2 Al 3.16, 1 Ho 3.47
Ho1 0.0332 0.0332 0.6944  2 Al 3.16, 5 Ho 3.34-3.54, 1 Y 3.47
Ho2 0.1410 0.1410 0.9510  4 Al 3.09-3.11, 3 Ho 3.34-3.46
Ho3 0.3646 0.3646 0.5179  9 Ho 3.43-3.57, 3 Y 3.65-3.68
Ho4 0.6354 0.6354 0.4821  9 Ho 3.43-3.57, 3 Y 3.65-3.68
Ho5 0.8590 0.8590 0.0490  4 Al 3.09-3.11, 3 Ho 3.34-3.46
Ho6 0.9668 0.9668 0.3056  2 Al 3.16, 5 Ho 3.34-3.54, 1 Y 3.47
Al1 0.4501 0.4501 0.8781  6 Ho 3.09-3.16, 2 Y 3.16, 1 Al 3.17
Al2 0.5499 0.5499 0.1219  6 Ho 3.09-3.16, 2 Y 3.16, 1 Al 3.17


(4)
The following is a DFT calculation (PBE-GGA) of a relaxed Y4HoAl2 crystal.

- ρ: 5.048 g/cm3
- Magnetic moment: 0.000 μB/atom
- SG: No. 166
- V: 188.97 Å³/cell
- Formation energy from the elements: -1.47 eV/f.u.

Lattice parameters (Å, degrees): 8.3968 8.3968 8.3968 36.66 36.66 36.66
Last column: nearest neighbours and their distance in Å.
Positions (direct):
Y1 0.0843 0.0843 0.0843  4 Al 3.13-3.16, 3 Y 3.46
Y2 0.3478 0.3478 0.3478  1 Al 3.02, 3 Y 3.12
Y3 0.6522 0.6522 0.6522  1 Al 3.02, 3 Y 3.12
Y4 0.9157 0.9157 0.9157  4 Al 3.13-3.16, 3 Y 3.46
Ho1 0.5000 0.5000 0.5000  6 Al 3.29, 8 Y 3.57-3.61
Al1 0.2190 0.2190 0.2190  5 Y 3.02-3.16, 3 Ho 3.29
Al2 0.7810 0.7810 0.7810  5 Y 3.02-3.16, 3 Ho 3.29


(5)
The following is a DFT calculation (PBE-GGA) of a relaxed YHo2Al6 crystal.

- ρ: 5.153 g/cm3
- Magnetic moment: 0.000 μB/atom
- SG: No. 191
- V: 187.11 Å³/cell
- Formation energy from the elements: -4.50 eV/f.u.

Lattice parameters (Å, degrees): 7.8988 7.8988 3.4630 90.00 90.00 120.00
Last column: nearest neighbours and their distance in Å.
Positions (direct):
Y1 0.0000 0.0000 0.0000  12 Al 3.15, 2 Y 3.46
Ho1 0.3333 0.6667 0.0000  12 Al 3.15, 2 Ho 3.46
Ho2 0.6667 0.3333 0.0000  12 Al 3.15, 2 Ho 3.46
Al1 0.0000 0.3338 0.5000  3 Al 2.63-2.64
Al2 0.0000 0.6662 0.5000  3 Al 2.63-2.64
Al3 0.3338 0.0000 0.5000  3 Al 2.63-2.64
Al4 0.3338 0.3338 0.5000  3 Al 2.63-2.64
Al5 0.6662 0.0000 0.5000  3 Al 2.63-2.64
Al6 0.6662 0.6662 0.5000  3 Al 2.63-2.64


(6)
The following is a DFT calculation (PBE-GGA) of a relaxed Y4Ho9Al11 crystal.

- ρ: 6.193 g/cm3
- Magnetic moment: 0.000 μB/atom
- SG: No. 65
- V: 572.97 Å³/cell
- Formation energy from the elements: -7.98 eV/f.u.

Lattice parameters (Å, degrees): 13.5451 13.5451 3.3464 90.00 90.00 111.06
Last column: nearest neighbours and their distance in Å.
Positions (direct):
Y1 0.0944 0.2598 0.0000  6 Al 3.14-3.30, 3 Ho 3.28-3.33, 2 Y 3.35
Y2 0.2598 0.0944 0.0000  6 Al 3.14-3.30, 3 Ho 3.28-3.33, 2 Y 3.35
Y3 0.7402 0.9056 0.0000  6 Al 3.14-3.30, 3 Ho 3.28-3.33, 2 Y 3.35
Y4 0.9056 0.7402 0.0000  6 Al 3.14-3.30, 3 Ho 3.28-3.33, 2 Y 3.35
Ho1 0.0000 0.0000 0.0000  4 Al 3.18, 4 Y 3.28, 2 Ho 3.35
Ho2 0.1124 0.6637 0.0000  8 Al 3.09-3.33, 1 Y 3.32, 3 Ho 3.35-3.43
Ho3 0.2965 0.4898 0.0000  8 Al 3.07-3.18, 3 Ho 3.28-3.35, 1 Y 3.33
Ho4 0.3363 0.8876 0.0000  8 Al 3.09-3.33, 1 Y 3.32, 3 Ho 3.35-3.43
Ho5 0.4898 0.2965 0.0000  8 Al 3.07-3.18, 3 Ho 3.28-3.35, 1 Y 3.33
Ho6 0.5102 0.7035 0.0000  8 Al 3.07-3.18, 3 Ho 3.28-3.35, 1 Y 3.33
Ho7 0.6637 0.1124 0.0000  8 Al 3.09-3.33, 1 Y 3.32, 3 Ho 3.35-3.43
Ho8 0.7035 0.5102 0.0000  8 Al 3.07-3.18, 3 Ho 3.28-3.35, 1 Y 3.33
Ho9 0.8876 0.3363 0.0000  8 Al 3.09-3.33, 1 Y 3.32, 3 Ho 3.35-3.43
Al1 0.0880 0.4613 0.5000  1 Al 2.93, 6 Ho 3.12-3.18, 2 Y 3.23
Al2 0.1209 0.8791 0.5000  6 Ho 3.18-3.33, 4 Y 3.30, 2 Al 3.35
Al3 0.3022 0.3022 0.5000  3 Al 3.03-3.35, 4 Ho 3.07, 4 Y 3.14
Al4 0.3117 0.6883 0.5000  8 Ho 3.09-3.11, 4 Al 3.35-3.46
Al5 0.4613 0.0880 0.5000  1 Al 2.93, 6 Ho 3.12-3.18, 2 Y 3.23
Al6 0.5000 0.5000 0.5000  4 Al 3.03-3.35, 8 Ho 3.18
Al7 0.5387 0.9120 0.5000  1 Al 2.93, 6 Ho 3.12-3.18, 2 Y 3.23
Al8 0.6883 0.3117 0.5000  8 Ho 3.09-3.11, 4 Al 3.35-3.46
Al9 0.6978 0.6978 0.5000  3 Al 3.03-3.35, 4 Ho 3.07, 4 Y 3.14
Al10 0.8791 0.1209 0.5000  6 Ho 3.18-3.33, 4 Y 3.30, 2 Al 3.35
Al11 0.9120 0.5387 0.5000  1 Al 2.93, 6 Ho 3.12-3.18, 2 Y 3.23


(7)
The following is a DFT calculation (PBE-GGA) of a relaxed Y2HoAl9 crystal.

- ρ: 4.134 g/cm3
- Magnetic moment: 0.000 μB/atom
- SG: No. 166
- V: 235.21 Å³/cell
- Formation energy from the elements: -4.35 eV/f.u.

Lattice parameters (Å, degrees): 9.3291 9.3291 9.3291 34.73 34.73 34.73
Last column: nearest neighbours and their distance in Å.
Positions (direct):
Y1 0.1420 0.1420 0.1420  12 Al 3.18-3.28, 3 Y 3.47
Y2 0.8580 0.8580 0.8580  12 Al 3.18-3.28, 3 Y 3.47
Ho1 0.0000 0.0000 0.0000  18 Al 3.22-3.54
Al1 0.0760 0.5870 0.5870  7 Al 2.70-2.85
Al2 0.3353 0.3353 0.3353  6 Al 2.70-2.74
Al3 0.4130 0.4130 0.9240  7 Al 2.70-2.85
Al4 0.4130 0.9240 0.4130  7 Al 2.70-2.85
Al5 0.5000 0.5000 0.5000  6 Al 2.74
Al6 0.5870 0.0760 0.5870  7 Al 2.70-2.85
Al7 0.5870 0.5870 0.0760  7 Al 2.70-2.85
Al8 0.6647 0.6647 0.6647  6 Al 2.70-2.74
Al9 0.9240 0.4130 0.4130  7 Al 2.70-2.85


(8)
The following is a DFT calculation (PBE-GGA) of a relaxed YHo3Al crystal.

- ρ: 6.889 g/cm3
- Magnetic moment: 0.000 μB/atom
- SG: No. 15
- V: 588.81 Å³/cell
- Formation energy from the elements: 0.10 eV/f.u.

Lattice parameters (Å, degrees): 9.4634 9.4634 6.6563 96.31 96.31 90.42
Last column: nearest neighbours and their distance in Å.
Positions (direct):
Y1 0.0745 0.7094 0.8674  1 Al 3.00, 1 Ho 3.32
Y2 0.2906 0.9255 0.6326  1 Al 3.00, 1 Ho 3.32
Y3 0.7094 0.0745 0.3674  1 Al 3.00, 1 Ho 3.32
Y4 0.9255 0.2906 0.1326  1 Al 3.00, 1 Ho 3.32
Ho1 0.0299 0.1791 0.6160  1 Al 3.24, 3 Y 3.38-3.54, 3 Ho 3.44-3.58
Ho2 0.1791 0.0299 0.1160  1 Al 3.24, 3 Y 3.38-3.54, 3 Ho 3.44-3.58
Ho3 0.1927 0.5076 0.4831  1 Al 2.85
Ho4 0.2375 0.4020 0.9747  3 Al 3.02-3.37, 1 Ho 3.24
Ho5 0.4020 0.2375 0.4747  3 Al 3.02-3.37, 1 Ho 3.24
Ho6 0.4924 0.8073 0.0169  1 Al 2.85
Ho7 0.5076 0.1927 0.9831  1 Al 2.85
Ho8 0.5980 0.7625 0.5253  3 Al 3.02-3.37, 1 Ho 3.24
Ho9 0.7625 0.5980 0.0253  3 Al 3.02-3.37, 1 Ho 3.24
Ho10 0.8073 0.4924 0.5169  1 Al 2.85
Ho11 0.8209 0.9701 0.8840  1 Al 3.24, 3 Y 3.38-3.54, 3 Ho 3.44-3.58
Ho12 0.9701 0.8209 0.3840  1 Al 3.24, 3 Y 3.38-3.54, 3 Ho 3.44-3.58
Al1 0.2767 0.7233 0.2500  2 Ho 2.85, 2 Y 3.00, 1 Al 3.06
Al2 0.4956 0.5044 0.7500  6 Ho 3.02-3.20, 3 Al 3.06-3.33
Al3 0.5044 0.4956 0.2500  6 Ho 3.02-3.20, 3 Al 3.06-3.33
Al4 0.7233 0.2767 0.7500  2 Ho 2.85, 2 Y 3.00, 1 Al 3.06


(9)
The following is a DFT calculation (PBE-GGA) of a relaxed Y5Ho12Al2 crystal.

- ρ: 7.170 g/cm3
- Magnetic moment: 0.000 μB/atom
- SG: No. 12
- V: 573.84 Å³/cell
- Formation energy from the elements: 0.34 eV/f.u.

Lattice parameters (Å, degrees): 8.8522 8.8522 8.2471 92.27 92.27 62.74
Last column: nearest neighbours and their distance in Å.
Positions (direct):
Y1 0.0000 0.0000 0.0000  10 Ho 3.31-3.63, 2 Y 3.55
Y2 0.2336 0.2336 0.0727  8 Ho 3.32-3.53, 2 Y 3.55-3.56
Y3 0.3102 0.3102 0.4872  2 Al 3.27, 6 Ho 3.37-3.57, 1 Y 3.56
Y4 0.6898 0.6898 0.5128  2 Al 3.27, 6 Ho 3.37-3.57, 1 Y 3.56
Y5 0.7664 0.7664 0.9273  8 Ho 3.32-3.53, 2 Y 3.55-3.56
Ho1 0.0432 0.6708 0.2706  1 Al 3.10, 3 Ho 3.31-3.45
Ho2 0.0787 0.0787 0.3808  5 Ho 3.16-3.45, 1 Y 3.31, 2 Al 3.42
Ho3 0.1778 0.5708 0.8279  5 Ho 3.24-3.62, 3 Y 3.36-3.50, 1 Al 3.38
Ho4 0.3292 0.9568 0.7294  1 Al 3.10, 3 Ho 3.31-3.45
Ho5 0.4292 0.8222 0.1721  5 Ho 3.24-3.62, 3 Y 3.36-3.50, 1 Al 3.38
Ho6 0.4479 0.4479 0.1782  2 Al 3.15, 5 Ho 3.24-3.40, 2 Y 3.32-3.37
Ho7 0.5521 0.5521 0.8218  2 Al 3.15, 5 Ho 3.24-3.40, 2 Y 3.32-3.37
Ho8 0.5708 0.1778 0.8279  5 Ho 3.24-3.62, 3 Y 3.36-3.50, 1 Al 3.38
Ho9 0.6708 0.0432 0.2706  1 Al 3.10, 3 Ho 3.31-3.45
Ho10 0.8222 0.4292 0.1721  5 Ho 3.24-3.62, 3 Y 3.36-3.50, 1 Al 3.38
Ho11 0.9213 0.9213 0.6192  5 Ho 3.16-3.45, 1 Y 3.31, 2 Al 3.42
Ho12 0.9568 0.3292 0.7294  1 Al 3.10, 3 Ho 3.31-3.45
Al1 0.3295 0.6705 0.5000  8 Ho 3.10-3.42, 1 Al 3.14, 2 Y 3.27
Al2 0.6705 0.3295 0.5000  8 Ho 3.10-3.42, 1 Al 3.14, 2 Y 3.27


(10)
The following is a DFT calculation (PBE-GGA) of a relaxed Y2Ho3Al2 crystal.

- ρ: 6.456 g/cm3
- Magnetic moment: 0.000 μB/atom
- SG: No. 166
- V: 186.87 Å³/cell
- Formation energy from the elements: -1.51 eV/f.u.

Lattice parameters (Å, degrees): 8.3680 8.3680 8.3680 36.65 36.65 36.65
Last column: nearest neighbours and their distance in Å.
Positions (direct):
Y1 0.0827 0.0827 0.0827  4 Al 3.13-3.17, 3 Ho 3.44
Y2 0.9173 0.9173 0.9173  4 Al 3.13-3.17, 3 Ho 3.44
Ho1 0.3471 0.3471 0.3471  1 Al 3.02, 3 Ho 3.11
Ho2 0.5000 0.5000 0.5000  6 Al 3.27, 2 Ho 3.58, 6 Y 3.62
Ho3 0.6529 0.6529 0.6529  1 Al 3.02, 3 Ho 3.11
Al1 0.2181 0.2181 0.2181  4 Ho 3.02-3.27, 4 Y 3.13-3.17
Al2 0.7819 0.7819 0.7819  4 Ho 3.02-3.27, 4 Y 3.13-3.17